Compound: Ti5Nb
Source: Alexandria
Functional: PBE-GGA
Structure: optimized geometry

Spin magnetization, Bohr magnetons per cell: 0.00
Distance to the lowest polymorph of the same formula, meV per atom: 0
E_form, eV per atom: 0.042
SG: Cm (8)

a b c (Å): 5.5992 5.5992 7.9755
angles (deg): 119.94 119.94 29.15
Sites, in units of the cell vectors:
Ti1 0.0000 0.0000 0.0000
Ti2 0.9996 0.9996 0.3430
Ti3 0.2530 0.2530 0.9950
Ti4 0.4918 0.4918 0.6696
Ti5 0.7420 0.7420 0.6666
Nb1 0.7464 0.7464 0.3307

=====

Compound: CaPm3Te6
Source: Alexandria
Functional: PBE-GGA
Structure: optimized geometry

Spin magnetization, Bohr magnetons per cell: 0.00
Energy relative to the elements, uncorrected, eV per atom: -1.32
SG: P2_1/m (11)

a b c (Å): 12.6990 4.4352 13.2471
angles (deg): 90.00 109.34 90.00
Sites, in units of the cell vectors:
Ca1 0.0440 0.2500 0.1951
Ca2 0.9560 0.7500 0.8049
Pm1 0.1559 0.2500 0.5799
Pm2 0.3139 0.7500 0.0008
Pm3 0.4308 0.2500 0.3321
Pm4 0.5692 0.7500 0.6679
Pm5 0.6861 0.2500 0.9992
Pm6 0.8441 0.7500 0.4201
Te1 0.0853 0.7500 0.4027
Te2 0.1134 0.2500 0.9613
Te3 0.1982 0.7500 0.7527
Te4 0.2537 0.7500 0.2222
Te5 0.3928 0.2500 0.5582
Te6 0.4861 0.2500 0.1191
Te7 0.5139 0.7500 0.8809
Te8 0.6072 0.7500 0.4418
Te9 0.7463 0.2500 0.7778
Te10 0.8018 0.2500 0.2473
Te11 0.8866 0.7500 0.0387
Te12 0.9147 0.2500 0.5973

=====

Compound: PrCuHg
Source: Alexandria
Functional: PBE-GGA
Structure: optimized geometry

Spin magnetization, Bohr magnetons per cell: 0.00
E_form, eV per atom: -0.201
SG: F-43m (216)

a b c (Å): 4.7455 4.7455 4.7455
angles (deg): 60.00 60.00 60.00
Sites, in units of the cell vectors:
Pr1 0.0000 0.0000 0.0000
Cu1 0.7500 0.7500 0.7500
Hg1 0.5000 0.5000 0.5000

=====

> What is the spin magnetization in the third record?

0.00 Bohr magnetons per cell